11
Lattice="6.700 0.000 0.000 -3.350 7.671 0.018 0.000 -2.854 8.730" Properties=species:S:1:pos:R:3 comment="Ac5PmSn5 PBE optimized geometry" total_energy_ev_per_cell=-50.5 crystal_system=monoclinic ef_ev_per_atom=-0.472 magmom_total_mub_per_fu=0.003 pbc="T T T"
Sn 3.350 0.000 0.000
Sn 3.350 4.801 1.406
Sn 3.350 3.297 5.898
Sn 0.000 0.016 7.342
Sn 0.000 1.520 2.850
Ac 0.000 -1.427 4.365
Ac 3.350 1.740 2.877
Ac 3.350 0.184 7.274
Ac 0.000 4.632 1.474
Ac 0.000 3.077 5.871
Pm 0.000 0.000 0.000



4
Lattice="-0.902 0.483 5.553 -5.265 0.534 1.969 -2.392 -4.246 2.852" Properties=species:S:1:pos:R:3 comment="AcPmSn2 PBE optimized geometry" total_energy_ev_per_cell=-19.1 crystal_system=cubic ef_ev_per_atom=-0.555 magmom_total_mub_per_fu=0.001 pbc="T T T"
Sn -6.419 -2.422 7.781
Sn -2.140 -0.807 2.594
Ac -4.279 -1.615 5.187
Pm 0.000 0.000 0.000



18
Lattice="6.804 0.000 0.000 0.000 9.985 0.000 0.000 -4.993 8.648" Properties=species:S:1:pos:R:3 comment="Ac3PmSn5 PBE optimized geometry" total_energy_ev_per_cell=-85.1 crystal_system=hexagonal ef_ev_per_atom=-0.609 magmom_total_mub_per_fu=0.000 pbc="T T T"
Ac 5.103 3.085 5.343
Ac 1.701 -3.085 5.343
Ac 5.103 -1.908 3.304
Ac 5.103 3.815 0.000
Ac 1.701 6.170 0.000
Ac 1.701 1.908 3.304
Sn 1.701 3.595 6.226
Sn 5.103 1.398 2.421
Sn 0.000 4.993 2.883
Sn 5.103 -3.595 6.226
Sn 1.701 -1.398 2.421
Sn 3.402 0.000 5.765
Sn 0.000 0.000 5.765
Sn 1.701 2.796 0.000
Sn 3.402 4.993 2.883
Sn 5.103 7.190 0.000
Pm 0.000 0.000 0.000
Pm 3.402 0.000 0.000



4
Lattice="-0.739 3.733 -0.705 -0.943 1.144 -3.574 -11.110 -0.037 0.824" Properties=species:S:1:pos:R:3 comment="AcPm2Sn PBE optimized geometry" total_energy_ev_per_cell=-18.4 crystal_system=trigonal ef_ev_per_atom=-0.188 magmom_total_mub_per_fu=0.000 pbc="T T T"
Ac -6.400 2.419 -1.726
Pm -8.836 0.322 0.339
Pm -2.828 1.268 -0.943
Sn -1.124 3.251 -2.852



10
Lattice="-6.191 1.516 5.321 6.063 -1.012 5.583 1.125 5.053 -3.889" Properties=species:S:1:pos:R:3 comment="AcPm2Sn2 PBE optimized geometry" total_energy_ev_per_cell=-47.3 crystal_system=monoclinic ef_ev_per_atom=-0.409 magmom_total_mub_per_fu=0.003 pbc="T T T"
Sn -0.604 4.328 2.505
Sn 1.601 1.230 4.509
Sn 4.973 3.177 2.624
Sn -3.977 2.381 4.390
Pm -0.926 2.921 5.455
Pm -1.347 0.668 3.446
Pm 2.344 4.889 3.568
Pm 1.922 2.637 1.560
Ac 4.869 0.556 4.579
Ac -3.873 5.002 2.435



4
Lattice="5.141 0.000 0.000 0.000 5.211 0.000 0.000 0.000 5.211" Properties=species:S:1:pos:R:3 comment="Ac2PmSn PBE optimized geometry" total_energy_ev_per_cell=-18.4 crystal_system=tetragonal ef_ev_per_atom=-0.350 magmom_total_mub_per_fu=0.000 pbc="T T T"
Ac 0.000 0.000 2.605
Ac 0.000 2.605 0.000
Sn 2.570 0.000 0.000
Pm 2.570 2.605 2.605



19
Lattice="-8.442 5.112 0.696 1.268 -2.417 -9.510 -1.148 -8.398 5.103" Properties=species:S:1:pos:R:3 comment="Ac12PmSn6 PBE optimized geometry" total_energy_ev_per_cell=-82.8 crystal_system=trigonal ef_ev_per_atom=-0.250 magmom_total_mub_per_fu=0.000 pbc="T T T"
Sn -1.078 -3.432 -4.181
Sn -3.325 -4.027 1.774
Sn -7.245 -2.272 0.471
Sn -4.997 -1.676 -5.485
Sn -3.206 -6.639 -1.874
Sn -5.116 0.936 -1.837
Ac -7.002 3.642 -2.320
Ac -3.635 -5.772 4.598
Ac -1.320 -9.345 -1.391
Ac -1.114 -4.226 -0.955
Ac -4.256 -0.928 1.021
Ac -7.208 -1.478 -2.756
Ac -4.687 0.069 -8.309
Ac -2.607 -0.313 -3.622
Ac -8.997 -1.006 3.009
Ac -5.716 -5.390 -0.089
Ac 0.674 -4.697 -6.720
Ac -4.067 -4.776 -4.731
Pm 0.000 0.000 0.000



17
Lattice="10.210 0.000 0.000 -3.403 9.626 0.000 -3.403 -4.813 8.336" Properties=species:S:1:pos:R:3 comment="Ac12PmSn4 PBE optimized geometry" total_energy_ev_per_cell=-68.8 crystal_system=cubic ef_ev_per_atom=0.074 magmom_total_mub_per_fu=0.003 pbc="T T T"
Ac -3.452 2.441 6.977
Ac 1.110 3.950 1.375
Ac 2.293 0.862 6.962
Ac 4.513 4.028 4.228
Ac 5.697 -1.647 5.602
Ac -1.110 0.785 4.108
Ac 3.452 7.262 1.375
Ac 0.049 4.804 5.602
Ac 6.855 2.372 1.359
Ac -2.293 6.460 2.734
Ac -0.049 -2.450 6.962
Ac 3.354 0.009 2.734
Sn -1.702 -2.406 4.168
Sn 1.702 2.406 4.168
Sn 5.105 0.000 0.000
Sn -1.702 4.813 0.000
Pm 0.000 0.000 0.000